Record 1
{
  "formula": "Ba2ZnCdAg6",
  "functional": "GGA-PBE",
  "state": "relaxed",
  "dft_energy_ev_per_cell": -23.481,
  "mass_density_kg_m3": 6497,
  "formation_energy_ev_per_atom": -0.034,
  "total_magnetization_mub_per_fu": 0.00,
  "cell": [[7.345, -0.008, 0.013], [-0.008, 7.346, 0.013], [3.679, 3.679, 5.221]],
  "species": ["Ba", "Ba", "Zn", "Cd", "Ag", "Ag", "Ag", "Ag", "Ag", "Ag"],
  "fractional_positions": [[0.750, 0.250, 0.500], [0.250, 0.750, 0.500], [0.500, 0.500, 0.000], [0.000, 0.000, 0.000], [0.259, 0.259, 0.481], [0.741, 0.740, 0.000], [0.259, 0.741, 0.000], [0.741, 0.259, 0.000], [0.259, 0.260, 0.000], [0.741, 0.741, 0.519]]
}


Record 2
{
  "formula": "HoTm8Ir6",
  "functional": "GGA-PBE",
  "state": "relaxed",
  "dft_energy_ev_per_cell": -106.364,
  "mass_density_kg_m3": 12923,
  "formation_energy_ev_per_atom": -0.857,
  "total_magnetization_mub_per_fu": 0.00,
  "cell": [[-6.619, -1.967, 3.102], [-2.195, -7.088, -1.500], [0.561, -4.772, 5.849]],
  "species": ["Ho", "Tm", "Tm", "Tm", "Tm", "Tm", "Tm", "Tm", "Tm", "Ir", "Ir", "Ir", "Ir", "Ir", "Ir"],
  "fractional_positions": [[0.000, 0.000, 0.000], [0.222, 0.553, 0.889], [0.111, 0.778, 0.447], [0.447, 0.111, 0.778], [0.666, 0.666, 0.666], [0.334, 0.334, 0.334], [0.553, 0.889, 0.222], [0.889, 0.222, 0.553], [0.778, 0.447, 0.111], [0.057, 0.391, 0.723], [0.277, 0.943, 0.609], [0.609, 0.277, 0.943], [0.391, 0.723, 0.057], [0.723, 0.057, 0.391], [0.943, 0.609, 0.277]]
}


Record 3
{
  "formula": "KCdIrW2",
  "functional": "GGA-PBE",
  "state": "relaxed",
  "dft_energy_ev_per_cell": -23.235,
  "mass_density_kg_m3": 8837,
  "formation_energy_ev_per_atom": 2.709,
  "total_magnetization_mub_per_fu": 5.32,
  "cell": [[-2.482, 3.858, -2.326], [0.574, -2.316, -4.455], [-4.467, -2.452, 0.699]],
  "species": ["K", "Ir", "W", "W", "Cd"],
  "fractional_positions": [[0.500, 0.500, 0.500], [0.000, 0.500, 0.000], [0.000, 0.000, 0.500], [0.500, 0.000, 0.000], [0.000, 0.000, 0.000]]
}


Record 4
{
  "formula": "Li2AlGe2",
  "functional": "GGA-PBE",
  "state": "relaxed",
  "dft_energy_ev_per_cell": -17.156,
  "mass_density_kg_m3": 3625,
  "formation_energy_ev_per_atom": -0.070,
  "relative_energy_mev_per_atom": 66,
  "total_magnetization_mub_per_fu": 0.00,
  "cell": [[3.801, 0.000, 0.000], [0.000, 3.801, 0.000], [1.901, 1.901, 5.902]],
  "species": ["Ge", "Ge", "Al", "Li", "Li"],
  "fractional_positions": [[0.399, 0.399, 0.202], [0.601, 0.601, 0.798], [0.000, 0.000, 0.000], [0.750, 0.250, 0.500], [0.250, 0.750, 0.500]]
}


Record 5
{
  "formula": "Cr2CuAg",
  "functional": "GGA-PBE",
  "state": "relaxed",
  "dft_energy_ev_per_cell": -24.315,
  "mass_density_kg_m3": 8494,
  "formation_energy_ev_per_atom": 0.470,
  "relative_energy_mev_per_atom": 183,
  "total_magnetization_mub_per_fu": 0.00,
  "cell": [[9.204, 0.010, 0.006], [8.829, 2.600, 0.006], [8.829, 1.278, 2.264]],
  "species": ["Ag", "Cr", "Cr", "Cu"],
  "fractional_positions": [[0.751, 0.751, 0.751], [0.994, 0.994, 0.994], [0.249, 0.249, 0.249], [0.505, 0.505, 0.505]]
}


Record 6
{
  "formula": "NdPuN",
  "functional": "GGA-PBE",
  "state": "relaxed",
  "dft_energy_ev_per_cell": -29.641,
  "mass_density_kg_m3": 9980,
  "e_form_raw_ev_per_atom": -0.74,
  "relative_energy_mev_per_atom": 0,
  "total_magnetization_mub_per_fu": 5.58,
  "cell": [[-2.314, -2.027, 5.532], [-0.373, -3.209, -1.332], [2.985, 0.901, 1.578]],
  "species": ["N", "Nd", "Pu"],
  "fractional_positions": [[0.019, 0.000, 0.000], [0.766, 0.333, 0.667], [0.215, 0.667, 0.333]]
}


Record 7
{
  "formula": "KPmCu2O4",
  "functional": "GGA-PBE",
  "state": "relaxed",
  "dft_energy_ev_per_cell": -46.947,
  "mass_density_kg_m3": 5593,
  "e_form_raw_ev_per_atom": -1.63,
  "total_magnetization_mub_per_fu": 0.00,
  "cell": [[3.919, 0.000, 0.000], [0.000, 3.919, 0.000], [0.000, 0.000, 7.254]],
  "species": ["K", "Pm", "Cu", "Cu", "O", "O", "O", "O"],
  "fractional_positions": [[0.000, 0.000, 0.500], [0.000, 0.000, 0.000], [0.500, 0.500, 0.224], [0.500, 0.500, 0.776], [0.000, 0.500, 0.207], [0.500, 0.000, 0.793], [0.500, 0.000, 0.207], [0.000, 0.500, 0.793]]
}


Record 8
{
  "formula": "AlOsNF2",
  "functional": "GGA-PBE",
  "state": "relaxed",
  "dft_energy_ev_per_cell": -29.567,
  "mass_density_kg_m3": 7588,
  "e_form_raw_ev_per_atom": -0.51,
  "relative_energy_mev_per_atom": 0,
  "total_magnetization_mub_per_fu": 2.18,
  "cell": [[3.350, 0.000, 0.000], [0.000, 3.350, 0.000], [0.000, 0.000, 5.251]],
  "species": ["N", "Os", "Al", "F", "F"],
  "fractional_positions": [[0.000, 0.000, 0.500], [0.500, 0.500, 0.500], [0.000, 0.000, 0.000], [0.000, 0.500, 0.000], [0.500, 0.000, 0.000]]
}